(1)
Here is crystalline Na3Ag3HgF8 at its relaxed geometry from Alexandria. Energies are from GGA-PBE.

Values from the calculation:
Total magnetic moment: 0.0 μB/f.u.
Formation energy without anion corrections: -1.747 eV/atom
Space group: No. 12
Calculated volume: 236 Å³/cell

abc: 6.9051 6.8162 7.1559
angles: 120.19 90.00 120.43
Last column: nearest neighbours and their distance in Å.
Element x y z (fractional)
F1 0.2395 0.4789 0.7164  1 Hg 2.29, 2 Na 2.37
Na1 0.0000 0.5000 0.5000  6 F 2.36-2.37
F2 0.7605 0.5211 0.2836  1 Hg 2.29, 2 Na 2.37
F3 0.2476 0.9945 0.7214  2 Na 2.35-2.36, 1 Hg 2.36, 2 Ag 2.43-2.62
F4 0.7524 0.0055 0.2786  2 Na 2.35-2.36, 1 Hg 2.36, 2 Ag 2.43-2.62
Hg1 0.0000 0.0000 0.5000  6 F 2.29-2.36
Ag1 0.5000 0.5000 0.0000  6 F 2.43-2.62
F5 0.2519 0.5038 0.2774  3 Na 2.36-2.37, 3 Ag 2.42-2.62
Ag2 0.0000 0.5000 0.0000  6 F 2.43-2.62
F6 0.2531 0.0055 0.2786  2 Na 2.35-2.36, 1 Hg 2.36, 2 Ag 2.43-2.62
Ag3 0.0000 0.0000 0.0000  6 F 2.42-2.62
F7 0.7469 0.9945 0.7214  2 Na 2.35-2.36, 1 Hg 2.36, 2 Ag 2.43-2.62
F8 0.7481 0.4962 0.7226  3 Na 2.36-2.37, 3 Ag 2.42-2.62
Na2 0.5000 0.5000 0.5000  6 F 2.36-2.37
Na3 0.5000 0.0000 0.5000  6 F 2.35-2.37



(2)
Here is crystalline NaAg2HgF8 at its relaxed geometry from Alexandria. Energies are from GGA-PBE.

Values from the calculation:
Total magnetic moment: 3.0 μB/f.u.
Formation energy without anion corrections: -1.360 eV/atom
Space group: No. 119
Calculated volume: 164 Å³/cell

abc: 5.4852 5.4852 6.6930
angles: 114.19 114.19 90.00
Last column: nearest neighbours and their distance in Å.
Element x y z (fractional)
Ag1 0.2500 0.7500 0.5000  8 F 2.33
Ag2 0.5000 0.5000 0.0000  8 F 2.32
F1 0.8751 0.8597 0.2492  2 Ag 2.32-2.33, 1 Hg 2.41, 1 Na 2.42, 1 F 2.58
Hg1 0.0000 0.0000 0.0000  8 F 2.41
F2 0.1400 0.1249 0.7509  2 Ag 2.32-2.33, 1 Hg 2.41, 1 Na 2.42, 1 F 2.58
F3 0.6109 0.6260 0.7509  2 Ag 2.32-2.33, 1 Hg 2.41, 1 Na 2.42, 1 F 2.58
Na1 0.7500 0.2500 0.5000  8 F 2.42
F4 0.3740 0.8600 0.2491  2 Ag 2.32-2.33, 1 Hg 2.41, 1 Na 2.42, 1 F 2.58
F5 0.1403 0.6260 0.7508  2 Ag 2.32-2.33, 1 Hg 2.41, 1 Na 2.42, 1 F 2.58
F6 0.8751 0.3891 0.2491  2 Ag 2.32-2.33, 1 Hg 2.41, 1 Na 2.42, 1 F 2.58
F7 0.6106 0.1249 0.7508  2 Ag 2.32-2.33, 1 Hg 2.41, 1 Na 2.42, 1 F 2.58
F8 0.3740 0.3894 0.2492  2 Ag 2.32-2.33, 1 Hg 2.41, 1 Na 2.42, 1 F 2.58



(3)
Here is crystalline NbAg2HgF at its relaxed geometry from Alexandria. Energies are from GGA-PBE.

Values from the calculation:
Total magnetic moment: 3.6 μB/f.u.
Formation energy without anion corrections: 0.732 eV/atom
Space group: No. 123
Calculated volume: 121 Å³/cell

abc: 5.2849 4.3460 5.2849
angles: 90.00 90.00 90.00
Last column: nearest neighbours and their distance in Å.
Element x y z (fractional)
Nb1 0.5000 0.5000 0.5000  8 Ag 3.42, 4 F 3.74
Ag1 0.0000 0.0000 0.5000  2 Hg 2.64
F1 0.0000 0.5000 0.0000  2 Hg 2.17
Ag2 0.5000 0.0000 0.0000  2 Hg 2.64
Hg1 0.0000 0.0000 0.0000  2 F 2.17